Cd4C3 (PBE, optimized geometry); E_form = 1748 meV per atom; ΔE to the lowest computed polymorph = 131.5 meV/atom
1.0
5.335 0.000 0.000
0.000 5.335 0.000
0.000 0.000 5.335
Cd C
4 3
direct
0.219 0.219 0.219
0.219 0.781 0.781
0.781 0.219 0.781
0.781 0.781 0.219
0.000 0.000 0.500
0.000 0.500 0.000
0.500 0.000 0.000

***

Tb5Sm4Y (PBE, optimized geometry); E_form = 185 meV per atom; ΔE to the lowest computed polymorph = 0.0 meV/atom
1.0
8.648 -1.773 0.000
8.648 1.773 0.000
-0.016 0.000 11.130
Tb Sm Y
5 4 1
direct
0.000 0.000 0.000
0.326 0.326 0.554
0.326 0.326 0.946
0.674 0.674 0.054
0.674 0.674 0.446
0.154 0.154 0.750
0.470 0.470 0.751
0.530 0.530 0.249
0.846 0.846 0.250
0.000 0.000 0.500

***

This record from Alexandria describes a relaxed Sr2TiF8 crystal. The functional is PBE.

Cell and atoms, written as POSCAR:
```
Sr2TiF8
1.0
7.762 -1.955 0.000
7.762 1.955 0.000
-1.552 0.000 4.849
Sr Ti F
2 1 8
direct
0.164 0.164 0.165
0.836 0.836 0.835
0.500 0.500 0.500
0.007 0.007 0.288
0.232 0.232 0.747
0.393 0.393 0.609
0.411 0.411 0.148
0.589 0.589 0.852
0.607 0.607 0.391
0.768 0.768 0.253
0.993 0.993 0.712
```

***

BaAgP (PBE, optimized geometry); E_form = -549 meV per atom
1.0
6.811 0.000 0.000
0.000 6.267 0.000
-2.279 0.000 7.804
Ba Ag P
4 4 4
direct
0.171 0.000 0.205
0.329 0.500 0.795
0.671 0.500 0.205
0.829 0.000 0.795
0.196 0.501 0.345
0.304 0.001 0.655
0.696 0.001 0.345
0.804 0.501 0.655
0.000 0.242 0.500
0.000 0.549 0.000
0.500 0.049 0.000
0.500 0.742 0.500

***

This record from Alexandria describes a relaxed PaBiH2O6 crystal. The functional is PBE.

Cell and atoms, written as POSCAR:
```
PaBiH2O6
1.0
5.160 0.000 0.000
2.086 4.724 0.000
2.075 1.768 5.193
Pa Bi H O
1 1 2 6
direct
0.000 0.000 0.000
0.500 0.500 0.500
0.400 0.182 0.275
0.600 0.818 0.725
0.125 0.382 0.754
0.256 0.898 0.260
0.431 0.754 0.751
0.569 0.246 0.249
0.744 0.102 0.740
0.875 0.618 0.246
```

***

Mo2HPdW (PBE, optimized geometry); ΔE to the lowest computed polymorph = 0.0 meV/atom
1.0
4.006 0.000 0.000
0.000 4.006 0.000
0.000 0.000 4.024
Mo H Pd W
2 1 1 1
direct
0.000 0.500 0.000
0.500 0.000 0.000
0.000 0.000 0.000
0.500 0.500 0.500
0.000 0.000 0.500

***

GdTmBeZn (PBE, optimized geometry); E_form = -111 meV per atom
1.0
6.975 0.000 0.000
0.000 6.975 0.000
0.000 0.000 6.975
Gd Tm Be Zn
4 4 4 4
direct
0.000 0.000 0.000
0.000 0.500 0.500
0.500 0.000 0.500
0.500 0.500 0.000
0.000 0.000 0.500
0.000 0.500 0.000
0.500 0.000 0.000
0.500 0.500 0.500
0.250 0.250 0.750
0.250 0.750 0.250
0.750 0.250 0.250
0.750 0.750 0.750
0.250 0.250 0.250
0.250 0.750 0.750
0.750 0.250 0.750
0.750 0.750 0.250

***

BaSrP (PBE, optimized geometry); E_form = -116 meV per atom; ΔE to the lowest computed polymorph = 719.9 meV/atom
1.0
7.390 0.000 0.000
0.000 7.390 0.000
0.000 0.000 7.390
Ba Sr P
4 4 4
direct
0.000 0.000 0.000
0.000 0.500 0.500
0.500 0.000 0.500
0.500 0.500 0.000
0.250 0.250 0.750
0.250 0.750 0.250
0.750 0.250 0.250
0.750 0.750 0.750
0.000 0.000 0.500
0.000 0.500 0.000
0.500 0.000 0.000
0.500 0.500 0.500

***

DyPuPb2 (PBE, optimized geometry); E_form = -276 meV per atom
1.0
4.976 0.000 0.000
0.000 4.976 0.000
0.000 0.000 4.547
Dy Pu Pb
1 1 2
direct
0.000 0.000 0.000
0.500 0.500 0.000
0.000 0.500 0.500
0.500 0.000 0.500

***

BaHg2Pb (PBE, optimized geometry); E_form = -255 meV per atom; ΔE to the lowest computed polymorph = 174.2 meV/atom
1.0
5.242 0.000 0.000
0.000 5.242 0.000
0.000 0.000 21.693
Ba Hg Pb
4 8 4
direct
0.000 0.000 0.000
0.000 0.500 0.250
0.500 0.000 0.750
0.500 0.500 0.500
0.166 0.250 0.625
0.250 0.666 0.875
0.250 0.834 0.375
0.334 0.250 0.125
0.666 0.750 0.125
0.750 0.166 0.375
0.750 0.334 0.875
0.834 0.750 0.625
0.000 0.000 0.500
0.000 0.500 0.750
0.500 0.000 0.250
0.500 0.500 0.000

***

Dy2PuNpP4 (PBE, optimized geometry); E_form = -1313 meV per atom
1.0
6.882 0.000 0.000
0.000 3.992 0.000
-2.317 0.000 6.527
Dy Pu Np P
2 1 1 4
direct
0.000 0.000 0.000
0.000 0.500 0.500
0.500 0.000 0.500
0.500 0.500 0.000
0.256 0.000 0.754
0.256 0.500 0.250
0.744 0.000 0.246
0.744 0.500 0.750

***

SrAc4Ru (PBE, optimized geometry); E_form = -45 meV per atom; ΔE to the lowest computed polymorph = 14.7 meV/atom
1.0
9.659 -4.051 0.000
9.659 4.051 0.000
-2.151 0.000 6.505
Sr Ac Ru
2 8 2
direct
0.195 0.195 0.179
0.805 0.805 0.821
0.143 0.641 0.387
0.260 0.740 0.000
0.318 0.318 0.792
0.359 0.857 0.613
0.641 0.143 0.387
0.682 0.682 0.208
0.740 0.260 0.000
0.857 0.359 0.613
0.463 0.463 0.656
0.537 0.537 0.344

***

Tb2AgIr (PBE, optimized geometry); E_form = -469 meV per atom; ΔE to the lowest computed polymorph = 122.5 meV/atom
1.0
4.084 0.000 0.000
-2.042 3.537 0.000
0.000 0.000 21.576
Tb Ag Ir
6 3 3
direct
0.000 0.000 0.235
0.000 0.000 0.765
0.333 0.667 0.431
0.333 0.667 0.902
0.667 0.333 0.098
0.667 0.333 0.569
0.000 0.000 0.000
0.333 0.667 0.667
0.667 0.333 0.333
0.000 0.000 0.500
0.333 0.667 0.167
0.667 0.333 0.833

***

NaLa3Zn (PBE, optimized geometry); E_form = 238 meV per atom; ΔE to the lowest computed polymorph = 0.0 meV/atom
1.0
5.861 0.000 0.000
0.000 5.861 0.000
0.000 0.000 5.861
Na La Zn
1 3 1
direct
0.000 0.000 0.000
0.000 0.500 0.500
0.500 0.000 0.500
0.500 0.500 0.000
0.500 0.500 0.500

***

| no. | total DFT energy (no corrections) (eV per cell) |
| --- | --- |
| 1 | -19.10 |
| 2 | -46.64 |
| 3 | -65.55 |
| 4 | -47.32 |
| 5 | -67.50 |
| 6 | -42.73 |
| 7 | -95.98 |
| 8 | -37.45 |
| 9 | -27.45 |
| 10 | -29.02 |
| 11 | -68.62 |
| 12 | -55.32 |
| 13 | -68.55 |
| 14 | -16.18 |